Record 1
Material: Pr3TmHg2
Method: DFT, PBE
State: relaxed

```
12
Lattice="-3.480 7.863 3.438 3.480 -7.863 3.438 3.480 7.863 -3.438" Properties=species:S:1:pos:R:3 pbc="T T T"
Pr 5.167 2.871 0.000
Pr 0.000 0.000 1.719
Pr 1.687 4.992 0.000
Pr 1.793 2.871 3.438
Pr 0.000 0.000 5.157
Pr -1.687 4.992 3.438
Tm 3.480 0.000 1.719
Tm 0.000 7.863 1.719
Hg 1.846 1.973 0.000
Hg 1.846 -1.973 3.438
Hg 1.633 9.836 0.000
Hg 1.633 5.890 3.438
```

Summary:
Space-group type: No. 72
Uncorrected energy: -3.51 eV/atom
E above lowest polymorph: 0.041 eV/atom
DFT formation energy: -26.8 kJ per mole of atoms

Record 2
Material: Rb2AcGaI6
Method: DFT, PBE
State: relaxed

```
20
Lattice="8.615 0.000 0.000 0.000 9.181 0.000 -8.329 0.000 12.464" Properties=species:S:1:pos:R:3 pbc="T T T"
Rb -0.208 0.770 3.059
Rb -4.373 3.820 9.291
Rb 4.659 5.361 3.173
Rb 0.494 8.411 9.405
Ac 4.307 0.000 0.000
Ac 0.143 4.590 6.232
Ga -4.165 0.000 6.232
Ga 0.000 4.590 0.000
I -6.684 1.772 11.759
I -2.520 2.818 5.527
I -5.645 6.427 11.734
I -1.481 7.345 5.502
I -3.080 0.312 9.350
I 1.085 4.279 3.118
I -0.799 4.902 9.346
I 3.366 8.869 3.114
I 1.766 1.836 6.962
I 5.931 2.754 0.730
I 2.805 6.363 6.937
I 6.970 7.409 0.705
```

Summary:
Space-group type: No. 14
Uncorrected energy: -3.13 eV/atom

Record 3
Material: PuRuN
Method: DFT, PBE
State: relaxed

```
12
Lattice="3.474 0.000 0.000 0.000 4.983 0.000 0.000 0.000 10.871" Properties=species:S:1:pos:R:3 pbc="T T T"
Pu 0.869 1.246 0.477
Pu 0.869 3.737 4.449
Pu 2.606 1.246 6.421
Pu 2.606 3.737 10.394
Ru 0.869 2.525 8.611
Ru 0.869 4.949 8.611
Ru 2.606 0.034 2.260
Ru 2.606 2.458 2.260
N 0.869 1.246 5.188
N 0.869 3.737 1.433
N 2.606 1.246 9.437
N 2.606 3.737 5.683
```

Summary:
Space-group type: No. 59
Uncorrected energy: -10.67 eV/atom
E above lowest polymorph: 0.000 eV/atom

Question: Which of these has the highest uncorrected energy?
Answer: Rb2AcGaI6

Please write out number 2 again, unchanged.
Material: Rb2AcGaI6
Method: DFT, PBE
State: relaxed

```
20
Lattice="8.615 0.000 0.000 0.000 9.181 0.000 -8.329 0.000 12.464" Properties=species:S:1:pos:R:3 pbc="T T T"
Rb -0.208 0.770 3.059
Rb -4.373 3.820 9.291
Rb 4.659 5.361 3.173
Rb 0.494 8.411 9.405
Ac 4.307 0.000 0.000
Ac 0.143 4.590 6.232
Ga -4.165 0.000 6.232
Ga 0.000 4.590 0.000
I -6.684 1.772 11.759
I -2.520 2.818 5.527
I -5.645 6.427 11.734
I -1.481 7.345 5.502
I -3.080 0.312 9.350
I 1.085 4.279 3.118
I -0.799 4.902 9.346
I 3.366 8.869 3.114
I 1.766 1.836 6.962
I 5.931 2.754 0.730
I 2.805 6.363 6.937
I 6.970 7.409 0.705
```

Summary:
Space-group type: No. 14
Uncorrected energy: -3.13 eV/atom

Question: Which of these has the highest uncorrected energy?
Answer: Rb2AcGaI6

Question: What is the formula in the first record?
Answer: Pr3TmHg2